An optimized crystal structure of KCd2Tc, computed with GGA-PBE.

```
KCd2Tc
1.0
-3.836 2.732 -3.288
-5.144 0.715 2.452
5.427 1.002 1.589
Cd K Tc
2 1 1
Cartesian
-2.104 1.720 1.812 Cd
0.000 0.000 0.000 Cd
-4.490 1.723 -0.418 K
-1.449 2.729 -1.058 Tc
```

Output
ΔE to the lowest computed polymorph in meV per atom: 388
Energy relative to the elements in eV per atom: 0.884



An optimized crystal structure of NdThNiPt, computed with GGA-PBE.

```
NdThNiPt
1.0
3.829 0.000 0.000
0.000 4.428 0.000
-1.915 0.000 5.496
Ni Nd Pt Th
1 1 1 1
Cartesian
0.000 0.000 4.480 Ni
0.000 0.000 1.564 Nd
1.915 2.214 0.903 Pt
1.915 2.214 4.045 Th
```

Output
ΔE to the lowest computed polymorph in meV per atom: 0
Energy relative to the elements in eV per atom: -0.780



An optimized crystal structure of Zr3FeC, computed with GGA-PBE.

```
Zr3FeC
1.0
4.478 0.000 0.000
0.000 4.478 0.000
0.000 0.000 4.478
Zr Fe C
3 1 1
Cartesian
0.000 2.239 0.000 Zr
0.000 0.000 2.239 Zr
2.239 0.000 0.000 Zr
2.239 2.239 2.239 Fe
0.000 0.000 0.000 C
```

Output
ΔE to the lowest computed polymorph in meV per atom: 0
Energy relative to the elements in eV per atom: -0.016



An optimized crystal structure of Ho8Ge3SeS4, computed with GGA-PBE.

```
Ho8Ge3SeS4
1.0
-7.470 1.810 2.391
1.885 -2.122 7.495
4.426 5.491 -3.882
Ho S Ge Se
8 4 3 1
Cartesian
-1.978 2.510 5.470 Ho
3.931 4.340 2.361 Ho
0.818 2.669 0.535 Ho
-1.434 -0.047 2.473 Ho
-5.091 0.840 3.644 Ho
-2.925 3.527 1.743 Ho
0.274 5.226 3.532 Ho
1.765 1.652 4.261 Ho
2.213 2.746 -1.941 S
0.000 0.000 0.000 S
-1.522 3.651 -0.745 S
-3.735 0.905 1.196 S
3.155 1.685 1.807 Ge
-2.793 -0.156 4.943 Ge
-0.580 2.590 3.002 Ge
0.942 -1.061 3.747 Se
```

Output
Energy relative to the elements, uncorrected in eV/atom: -1.587



Number 1: energy -2.44 eV per atom. Number 2: energy -6.78 eV per atom. Number 3: energy -8.68 eV per atom. Number 4: energy -5.99 eV per atom.